NpCrH8Pt2 | GGA-PBE | relaxed

a = 4.7467 Å, b = 4.7467 Å, c = 6.7432 Å
α = 90.00°, β = 90.00°, γ = 120.00°
Closest atoms and distances in Å follow each position.
Atoms (fractional coordinates):
Np (0.0000, 0.0000, 0.0000)  6 H 2.37
Cr (0.0000, 0.0000, 0.5000)  6 H 1.77
H (0.1437, 0.2874, 0.3045)  1 Pt 1.74, 1 Cr 1.77
H (0.1437, 0.8563, 0.3045)  1 Pt 1.74, 1 Cr 1.77
H (0.2874, 0.1437, 0.6955)  1 Pt 1.74, 1 Cr 1.77
H (0.3333, 0.6667, 0.9462)  1 Pt 1.64
H (0.6667, 0.3333, 0.0538)  1 Pt 1.64
H (0.7126, 0.8563, 0.3045)  1 Pt 1.74, 1 Cr 1.77
H (0.8563, 0.1437, 0.6955)  1 Pt 1.74, 1 Cr 1.77
H (0.8563, 0.7126, 0.6955)  1 Pt 1.74, 1 Cr 1.77
Pt (0.3333, 0.6667, 0.1900)  4 H 1.64-1.74
Pt (0.6667, 0.3333, 0.8100)  4 H 1.64-1.74

Computed properties:
**Space group**: P-3m1
**E**: -5.00 eV/atom